Here is a geometry-optimized PmBe4Pt4 structure from Alexandria. Energies are from GGA-PBE.

```
PmBe4Pt4
1.0
4.462 0.000 0.000
0.000 7.732 0.000
0.000 0.000 7.732
Be Pt Pm
8 8 2
Cartesian
4.028 5.086 1.491 Be
2.664 1.220 5.357 Be
1.798 5.357 6.511 Be
1.798 2.375 1.220 Be
2.664 6.511 2.375 Be
0.433 1.491 2.646 Be
0.433 6.241 5.086 Be
4.028 2.646 6.241 Be
4.008 4.879 6.680 Pt
2.684 6.719 4.918 Pt
0.453 1.052 4.879 Pt
2.684 1.013 2.814 Pt
4.008 2.853 1.052 Pt
1.778 2.814 6.719 Pt
1.778 4.918 1.013 Pt
0.453 6.680 2.853 Pt
0.000 0.000 0.000 Pm
2.231 3.866 3.866 Pm
```

Total DFT energy (no corrections) (eV per atom): -5.6040
Formation energy from the elements (eV/atom): -0.735
Fermi-level density of states (states/eV/f.u.): 3.1



Here is a geometry-optimized ZrPbSe2Br structure from Alexandria. Energies are from GGA-PBE.

```
ZrPbSe2Br
1.0
-3.058 4.465 -0.412
-4.176 -2.654 2.231
1.629 1.569 4.916
Se Zr Pb Br
2 1 1 1
Cartesian
-1.529 2.233 -0.206 Se
-2.088 -1.327 1.115 Se
-2.803 1.690 3.367 Zr
0.000 0.000 0.000 Pb
0.814 0.785 2.458 Br
```

Relative energy among the computed polymorphs (meV per atom): 1089
Total DFT energy (no corrections) (eV per atom): -3.7575
Fermi-level density of states (states/eV/f.u.): 5.5
E_form (uncorrected) (eV/atom): 0.422



What are the spin magnetization values for these records? In order: 0.000 0.334 μB per atom.